{
  "formula": "Zr2GaPd9",
  "functional": "PBE-GGA",
  "state": "relaxed",
  "lattice_angstrom": [[4.012, 0.000, 0.000], [0.000, 4.012, 0.000], [0.000, 0.000, 11.924]],
  "species": ["Zr", "Zr", "Ga", "Pd", "Pd", "Pd", "Pd", "Pd", "Pd", "Pd", "Pd", "Pd"],
  "fractional_positions": [[0.000, 0.000, 0.172], [0.000, 0.000, 0.828], [0.000, 0.000, 0.500], [0.000, 0.500, 0.000], [0.000, 0.500, 0.338], [0.000, 0.500, 0.662], [0.500, 0.000, 0.000], [0.500, 0.000, 0.338], [0.500, 0.000, 0.662], [0.500, 0.500, 0.169], [0.500, 0.500, 0.500], [0.500, 0.500, 0.831]],
  "formation_energy_ev_per_atom": -0.715,
  "magmom_total_mub_per_cell": 0.0,
  "space_group": "P4/mmm, No. 123",
  "crystal_system": "tetragonal"
}

{
  "formula": "ZrGaPd3",
  "functional": "PBE-GGA",
  "state": "relaxed",
  "lattice_angstrom": [[4.566, 0.000, 0.000], [0.000, 5.580, 0.000], [0.000, 0.000, 6.808]],
  "species": ["Zr", "Zr", "Ga", "Ga", "Pd", "Pd", "Pd", "Pd", "Pd", "Pd"],
  "fractional_positions": [[0.250, 0.250, 0.165], [0.750, 0.750, 0.835], [0.250, 0.750, 0.435], [0.750, 0.250, 0.565], [0.250, 0.014, 0.730], [0.250, 0.486, 0.730], [0.250, 0.750, 0.076], [0.750, 0.250, 0.924], [0.750, 0.514, 0.270], [0.750, 0.986, 0.270]],
  "formation_energy_ev_per_atom": -0.615,
  "magmom_total_mub_per_cell": 0.0,
  "space_group": "Pmmn, No. 59",
  "polymorph_energy_mev_per_atom": 0,
  "crystal_system": "orthorhombic"
}

{
  "formula": "ZrGaPd6",
  "functional": "PBE-GGA",
  "state": "relaxed",
  "lattice_angstrom": [[4.006, 0.000, 0.000], [0.000, 4.006, 0.000], [0.000, 0.000, 7.865]],
  "species": ["Zr", "Ga", "Pd", "Pd", "Pd", "Pd", "Pd", "Pd"],
  "fractional_positions": [[0.000, 0.000, 0.000], [0.000, 0.000, 0.500], [0.000, 0.500, 0.256], [0.000, 0.500, 0.744], [0.500, 0.000, 0.256], [0.500, 0.000, 0.744], [0.500, 0.500, 0.000], [0.500, 0.500, 0.500]],
  "formation_energy_ev_per_atom": -0.667,
  "magmom_total_mub_per_cell": 0.0,
  "space_group": "P4/mmm, No. 123",
  "polymorph_energy_mev_per_atom": 0,
  "crystal_system": "tetragonal"
}

{
  "formula": "Zr6Ga16Pd7",
  "functional": "PBE-GGA",
  "state": "relaxed",
  "lattice_angstrom": [[0.000, 6.256, 6.256], [6.256, 0.000, 6.256], [6.256, 6.256, 0.000]],
  "species": ["Zr", "Zr", "Zr", "Zr", "Zr", "Zr", "Ga", "Ga", "Ga", "Ga", "Ga", "Ga", "Ga", "Ga", "Ga", "Ga", "Ga", "Ga", "Ga", "Ga", "Ga", "Ga", "Pd", "Pd", "Pd", "Pd", "Pd", "Pd", "Pd"],
  "fractional_positions": [[0.192, 0.192, 0.808], [0.192, 0.808, 0.192], [0.192, 0.808, 0.808], [0.808, 0.192, 0.192], [0.808, 0.192, 0.808], [0.808, 0.808, 0.192], [0.135, 0.622, 0.622], [0.160, 0.160, 0.160], [0.160, 0.160, 0.521], [0.160, 0.521, 0.160], [0.378, 0.378, 0.378], [0.378, 0.378, 0.865], [0.378, 0.865, 0.378], [0.479, 0.840, 0.840], [0.521, 0.160, 0.160], [0.622, 0.135, 0.622], [0.622, 0.622, 0.135], [0.622, 0.622, 0.622], [0.840, 0.479, 0.840], [0.840, 0.840, 0.479], [0.840, 0.840, 0.840], [0.865, 0.378, 0.378], [0.000, 0.000, 0.500], [0.000, 0.500, 0.000], [0.000, 0.500, 0.500], [0.500, 0.000, 0.000], [0.500, 0.000, 0.500], [0.500, 0.500, 0.000], [0.500, 0.500, 0.500]],
  "formation_energy_ev_per_atom": -0.597,
  "magmom_total_mub_per_cell": 0.0,
  "space_group": "Fm-3m, No. 225",
  "crystal_system": "cubic"
}